Below is a relaxed Ho8Ga2Te crystal, with properties calculated at the PBE level.

abc: 4.805 6.841 9.913
angles: 101.97 104.03 90.00
Fractional coordinates of all 11 atoms:
Ho: 0.216 0.326 0.432
Ho: 0.597 0.474 0.195
Ho: 0.663 0.988 0.326
Ho: 0.969 0.242 0.937
Ho: 0.403 0.526 0.805
Ho: 0.784 0.674 0.568
Ho: 0.337 0.012 0.674
Ho: 0.031 0.758 0.063
Te: 0.500 0.000 0.000
Ga: 0.814 0.250 0.628
Ga: 0.186 0.750 0.372

D(E_F)   13.1 states/eV/f.u.
E_form (uncorrected)   -384 meV per atom
Calculated total energy   -4.550 eV per atom
SG   C2/m (12)